(1)
VASP calculation (meta-GGA SCAN) on TiMoC3 at its PBEsol-relaxed geometry.

It has space group Pm-3m (No. 221), with a = 3.9425 Å, b = 3.9425 Å, c = 3.9425 Å, α = 90.00°, β = 90.00° and γ = 90.00°. The inequivalent atoms are Ti at (0.0000, 0.0000, 0.0000), Mo at (0.5000, 0.5000, 0.5000) and C at (0.0000, 0.5000, 0.5000).

Its calculated volume is 12.3 Å³/atom. As for the crystal system: cubic. As for the calculated total energy: -1.0782 Ry/atom. The value obtained for the formation energy is 1.574 eV/atom.

***

(2)
VASP calculation (meta-GGA SCAN) on MoW2C at its PBEsol-relaxed geometry.

It has space group Cm (No. 8), with a = 8.4030 Å, b = 2.9112 Å, c = 4.8519 Å, α = 90.00°, β = 117.49° and γ = 90.00°. The inequivalent atoms are Mo at (0.0000, 0.0000, 0.0000), W at (0.1857, 0.0000, 0.7001), W at (0.3726, 0.0000, 0.3661) and C at (0.1577, 0.5000, 0.3508).

Its calculated volume is 13.2 Å³/atom. As for the crystal system: monoclinic. As for the calculated total energy: -3.3630 Ry/atom. The value obtained for the formation energy is 0.335 eV/atom.

***

(3)
VASP calculation (meta-GGA SCAN) on MoW2C at its PBEsol-relaxed geometry.

It has space group P2/m (No. 10), with a = 4.2187 Å, b = 3.0689 Å, c = 4.2747 Å, α = 90.00°, β = 104.06° and γ = 90.00°. The inequivalent atoms are Mo at (0.0000, 0.0000, 0.0000), W at (0.5000, 0.0000, 0.5000), W at (0.5000, 0.5000, 0.0000) and C at (0.0000, 0.5000, 0.5000).

Its calculated volume is 13.4 Å³/atom. As for the crystal system: monoclinic. As for the calculated total energy: -3.3008 Ry/atom. The value obtained for the formation energy is 1.181 eV/atom.

***

(4)
VASP calculation (meta-GGA SCAN) on Mo3WC at its PBEsol-relaxed geometry.

It has space group Pm-3m (No. 221), with a = 4.6626 Å, b = 4.6626 Å, c = 4.6626 Å, α = 90.00°, β = 90.00° and γ = 90.00°. The inequivalent atoms are Mo at (0.0000, 0.0000, 0.5000), W at (0.0000, 0.0000, 0.0000) and C at (0.5000, 0.5000, 0.5000).

Its calculated volume is 20.3 Å³/atom. As for the crystal system: cubic. As for the calculated total energy: -2.4781 Ry/atom. The value obtained for the formation energy is 3.173 eV/atom.

***

(5)
VASP calculation (meta-GGA SCAN) on Mo2WC at its PBEsol-relaxed geometry.

It has space group P4/mmm (No. 123), with a = 2.6841 Å, b = 2.6841 Å, c = 7.1438 Å, α = 90.00°, β = 90.00° and γ = 90.00°. The inequivalent atoms are Mo at (0.0000, 0.0000, 0.1791), W at (0.5000, 0.5000, 0.5000) and C at (0.5000, 0.5000, 0.0000).

Its calculated volume is 12.9 Å³/atom. As for the crystal system: tetragonal. As for the calculated total energy: -2.7132 Ry/atom. The value obtained for the formation energy is 0.474 eV/atom.

***

(6)
VASP calculation (meta-GGA SCAN) on Mo2WC at its PBEsol-relaxed geometry.

It has space group Cmmm (No. 65), with a = 3.0842 Å, b = 4.5738 Å, c = 7.4088 Å, α = 90.00°, β = 90.00° and γ = 90.00°. The inequivalent atoms are Mo at (0.0000, 0.0000, 0.1934), W at (0.0000, 0.5000, 0.5000) and C at (0.0000, 0.5000, 0.0000).

Its calculated volume is 13.1 Å³/atom. As for the crystal system: orthorhombic. As for the calculated total energy: -2.7188 Ry/atom. The value obtained for the formation energy is 0.399 eV/atom.